1.
Crystalline Bi2Au2Cl at its relaxed geometry. Source: Alexandria, functional PBE.

The structure in POSCAR format:
```
Bi2Au2Cl
1.0
4.036 0.000 0.000
0.000 4.036 0.000
2.018 2.018 7.888
Au Bi Cl
2 2 1
direct
0.750 0.250 0.500 Au
0.250 0.750 0.500 Au
0.388 0.388 0.225 Bi
0.612 0.612 0.775 Bi
0.000 0.000 0.000 Cl
```

**Energy relative to the elements, uncorrected**: -0.57 eV per formula unit
**Density of states at the Fermi level**: 0.59 states/eV/atom
**Space-group type**: I4/mmm (139)

***

2.
Crystalline Sr2Li9Sn6 at its relaxed geometry. Source: Alexandria, functional PBE.

The structure in POSCAR format:
```
Sr2Li9Sn6
1.0
-4.886 -3.227 -1.264
2.647 -0.542 5.346
-8.142 10.337 5.079
Sr Li Sn
2 9 6
direct
0.000 0.000 0.666 Sr
0.000 0.000 0.334 Sr
0.500 0.000 0.837 Li
0.000 0.500 0.837 Li
0.500 0.500 0.837 Li
0.500 0.000 0.163 Li
0.000 0.500 0.163 Li
0.500 0.500 0.163 Li
0.500 0.000 0.500 Li
0.000 0.500 0.500 Li
0.500 0.500 0.500 Li
0.333 0.667 0.000 Sn
0.667 0.333 0.000 Sn
0.333 0.667 0.669 Sn
0.667 0.333 0.669 Sn
0.667 0.333 0.331 Sn
0.333 0.667 0.331 Sn
```

**Density of states at the Fermi level**: 0.43 states/eV/atom
**E_form**: -293 meV/atom
**Space-group type**: P6/mmm (191)

***

3.
Crystalline Tb3Si6Ni2Ir at its relaxed geometry. Source: Alexandria, functional PBE.

The structure in POSCAR format:
```
Tb3Si6Ni2Ir
1.0
-5.589 -0.816 -0.833
2.511 -2.032 4.708
-1.506 6.593 3.649
Tb Si Ni Ir
3 6 2 1
direct
0.333 0.667 0.624 Tb
0.667 0.333 0.376 Tb
0.000 0.000 0.000 Tb
0.616 0.808 0.287 Si
0.192 0.384 0.287 Si
0.192 0.808 0.287 Si
0.808 0.616 0.713 Si
0.384 0.192 0.713 Si
0.808 0.192 0.713 Si
0.667 0.333 0.956 Ni
0.333 0.667 0.044 Ni
0.000 0.000 0.500 Ir
```

**Energy relative to the elements, uncorrected**: -4.67 eV per formula unit
**Density of states at the Fermi level**: 0.61 states/eV/atom
**Space-group type**: P-3m1 (164)